Entry from Alexandria: a geometry-optimized CaLa2Zn3Pt4 structure (GGA-PBE).

* symmetry: P-4m2 (115)
* total DFT energy (no corrections): -4.78 eV/atom

Unit cell a=4.203 b=4.203 c=11.873 alpha=90.00 beta=90.00 gamma=90.00
Element x y z (fractional)
1 Pt 0.000 0.500 0.337
2 Pt 0.000 0.000 0.000
3 Pt 0.500 0.000 0.663
4 Pt 0.500 0.500 0.000
5 Zn 0.000 0.000 0.500
6 Zn 0.000 0.500 0.123
7 Zn 0.500 0.000 0.877
8 La 0.000 0.500 0.772
9 La 0.500 0.000 0.228
10 Ca 0.500 0.500 0.500